VASP calculation (PBE) on a geometry-optimized CdCoIr2 structure.

abc: 2.7526 2.7526 9.2954
angles: 90.00 90.00 119.69
Last column: nearest neighbours and their distance in Å.
Atoms (fractional coordinates):
Cd1 0.0000 0.0000 0.0000  6 Cd 2.75-2.77, 2 Co 2.75, 2 Ir 2.87
Co1 0.5000 0.5000 0.7437  2 Ir 2.51, 6 Co 2.75-2.77, 2 Cd 2.75
Ir1 0.0000 0.0000 0.5187  2 Co 2.51, 8 Ir 2.69-2.77
Ir2 0.5000 0.5000 0.2701  8 Ir 2.69-2.77, 2 Cd 2.87

Output
Its symmetry is Cmm2, No. 35. The size of the total moment is 1.88 μB per formula unit. Its calculated total energy is -6.061 eV/atom.

VASP calculation (PBE) on a geometry-optimized CdCoIr2 structure.

abc: 4.4852 4.4852 3.0201
angles: 90.00 90.00 90.00
Last column: nearest neighbours and their distance in Å.
Atoms (fractional coordinates):
Cd1 0.0000 0.0000 0.0000  8 Ir 2.70, 2 Cd 3.02
Co1 0.5000 0.5000 0.0000  8 Ir 2.70, 2 Co 3.02
Ir1 0.0000 0.5000 0.5000  4 Cd 2.70, 4 Co 2.70, 2 Ir 3.02
Ir2 0.5000 0.0000 0.5000  4 Cd 2.70, 4 Co 2.70, 2 Ir 3.02

Output
Its symmetry is P4/mmm, No. 123. The size of the total moment is 2.95 μB per formula unit. Its calculated total energy is -5.969 eV/atom.

VASP calculation (PBE) on a geometry-optimized Cd4CoIr structure.

abc: 5.4380 5.4380 5.4380
angles: 60.00 60.00 60.00
Last column: nearest neighbours and their distance in Å.
Atoms (fractional coordinates):
Cd1 0.1250 0.1250 0.1250  6 Cd 2.72
Cd2 0.1250 0.1250 0.6249  6 Cd 2.72
Cd3 0.1250 0.6249 0.1250  6 Cd 2.72
Cd4 0.6249 0.1250 0.1250  6 Cd 2.72
Co1 0.7500 0.7500 0.7500  12 Cd 3.19, 4 Ir 3.33
Ir1 0.5000 0.5000 0.5000  12 Cd 3.19, 4 Co 3.33

Output
Its symmetry is F-43m, No. 216. The size of the total moment is 2.21 μB per formula unit. Its calculated total energy is -2.619 eV/atom.

VASP calculation (PBE) on a geometry-optimized Cd2CoIr structure.

abc: 4.8852 4.8852 2.9492
angles: 90.00 90.00 110.32
Last column: nearest neighbours and their distance in Å.
Atoms (fractional coordinates):
Cd1 0.0000 0.5000 0.0000  4 Cd 2.79-2.95, 4 Co 2.85, 4 Ir 2.85
Cd2 0.5000 0.0000 0.0000  4 Cd 2.79-2.95, 4 Co 2.85, 4 Ir 2.85
Co1 0.0000 0.0000 0.5000  2 Ir 2.79, 8 Cd 2.85, 2 Co 2.95
Ir1 0.5000 0.5000 0.5000  2 Co 2.79, 8 Cd 2.85, 2 Ir 2.95

Output
Its symmetry is Cmmm, No. 65. As for the polymorph energy (0 for the lowest one): 0.80 eV/f.u. The size of the total moment is 1.90 μB per formula unit.

VASP calculation (PBE) on a geometry-optimized CdCoIr2 structure.

abc: 5.4018 5.4018 5.4018
angles: 149.74 129.15 60.33
Last column: nearest neighbours and their distance in Å.
Atoms (fractional coordinates):
Cd1 0.0000 0.0000 0.0000  6 Ir 2.72-2.93, 2 Co 2.80, 2 Cd 2.82
Co1 0.2594 0.7594 0.5000  6 Ir 2.52-2.73, 2 Cd 2.80, 2 Co 2.82
Ir1 0.4836 0.4836 0.0000  2 Co 2.52, 4 Ir 2.66-2.82, 4 Cd 2.72
Ir2 0.7253 0.2253 0.5000  4 Ir 2.66-2.82, 4 Co 2.73, 2 Cd 2.93

Output
Its symmetry is Imm2, No. 44. The size of the total moment is 2.29 μB per formula unit. Its calculated total energy is -6.077 eV/atom.

VASP calculation (PBE) on a geometry-optimized CdCoIr2 structure.

abc: 9.1297 9.1297 9.1297
angles: 17.48 17.48 17.48
Last column: nearest neighbours and their distance in Å.
Atoms (fractional coordinates):
Cd1 0.0000 0.0000 0.0000  6 Cd 2.77, 3 Co 2.82, 3 Ir 2.95
Co1 0.2474 0.2474 0.2474  3 Ir 2.56, 6 Co 2.77, 3 Cd 2.82
Ir1 0.5067 0.5067 0.5067  3 Co 2.56, 9 Ir 2.72-2.77
Ir2 0.7586 0.7586 0.7586  9 Ir 2.72-2.77, 3 Cd 2.95

Output
Its symmetry is R3m, No. 160. The size of the total moment is 1.35 μB per formula unit. Its calculated total energy is -6.225 eV/atom.

VASP calculation (PBE) on a geometry-optimized CdCoIr2 structure.

abc: 2.7521 3.7450 5.8839
angles: 90.00 90.00 90.00
Last column: nearest neighbours and their distance in Å.
Atoms (fractional coordinates):
Cd1 0.0000 0.0000 0.0000  2 Cd 2.75, 6 Ir 2.82-3.06, 4 Co 2.83
Co1 0.5000 0.5000 0.2735  5 Ir 2.55-2.62, 2 Co 2.75, 4 Cd 2.83
Ir1 0.0000 0.0000 0.4799  4 Co 2.62, 6 Ir 2.68-2.75, 1 Cd 2.82
Ir2 0.5000 0.5000 0.7066  1 Co 2.55, 6 Ir 2.68-2.75

Output
Its symmetry is Pmm2, No. 25. The size of the total moment is 1.55 μB per formula unit. Its calculated total energy is -6.214 eV/atom.

VASP calculation (PBE) on a geometry-optimized CdCoIr3 structure.

abc: 4.5042 4.5042 4.5042
angles: 90.00 90.00 90.00
Last column: nearest neighbours and their distance in Å.
Atoms (fractional coordinates):
Cd1 0.0000 0.0000 0.0000  12 Ir 3.18
Co1 0.5000 0.5000 0.5000  6 Ir 2.25
Ir1 0.0000 0.5000 0.5000  2 Co 2.25
Ir2 0.5000 0.0000 0.5000  2 Co 2.25
Ir3 0.5000 0.5000 0.0000  2 Co 2.25

Output
Its symmetry is Pm-3m, No. 221. As for the polymorph energy (0 for the lowest one): 0.00 eV/f.u. The size of the total moment is 3.97 μB per formula unit.